SrCa2Cl after structural relaxation, computed with PBE-GGA.

abc: 3.756 3.756 10.356
angles: 90.00 90.00 90.00
Space group P4/mmm (No. 123)
Asymmetric unit:
1 Sr 0.000 0.000 0.000 (multiplicity 1)
2 Ca 0.500 0.500 0.294 (multiplicity 2)
3 Cl 0.000 0.000 0.500 (multiplicity 1)

Calculated values
Volume: 36.52 Å³ per atom
Total moment: 0.00 Bohr magnetons per cell
Offset from the most stable computed form: 145.8 meV per atom
Raw formation energy: -2.58 eV/f.u.
Calculated density: 2.3 Mg/m³
N(E_F): 2.8 states/eV/cell
Raw total energy: -2.53 eV per atom